1.
DFT (PBE-GGA) results for Li2Pd8Au after structural relaxation.

Structure (POSCAR):
```
Li2Pd8Au
1.0
6.977 -2.609 0.000
6.977 2.609 0.000
-1.522 0.000 4.570
Li Pd Au
2 8 1
direct
0.241 0.241 0.392 Li
0.759 0.759 0.608 Li
0.093 0.093 0.987 Pd
0.149 0.649 0.486 Pd
0.290 0.290 0.931 Pd
0.351 0.851 0.514 Pd
0.649 0.149 0.486 Pd
0.710 0.710 0.069 Pd
0.851 0.351 0.514 Pd
0.907 0.907 0.013 Pd
0.500 0.500 0.000 Au
```

Calculated values
* energy above the most stable polymorph in this dataset: 0 meV/atom
* ΔE_f: -80 meV/atom
* total DFT energy (no corrections): -49.52 eV/f.u.

***

2.
DFT (PBE-GGA) results for Li2TbSc after structural relaxation.

Structure (POSCAR):
```
Li2TbSc
1.0
1.606 0.927 11.589
-1.606 0.927 11.589
0.000 -1.854 11.589
Li Tb Sc
2 1 1
direct
0.086 0.086 0.086 Li
0.914 0.914 0.914 Li
0.500 0.500 0.500 Tb
0.000 0.000 0.000 Sc
```

Calculated values
* energy above the most stable polymorph in this dataset: 128 meV/atom
* ΔE_f: 316 meV/atom
* total DFT energy (no corrections): -13.53 eV/f.u.

***

3.
DFT (PBE-GGA) results for Ca3Zn2Sn after structural relaxation.

Structure (POSCAR):
```
Ca3Zn2Sn
1.0
2.662 -8.015 0.000
2.662 8.015 0.000
0.000 0.000 3.688
Ca Zn Sn
3 2 1
direct
0.000 0.000 0.000 Ca
0.329 0.671 0.000 Ca
0.671 0.329 0.000 Ca
0.168 0.832 0.500 Zn
0.832 0.168 0.500 Zn
0.500 0.500 0.500 Sn
```

Calculated values
* ΔE_f: -387 meV/atom
* total DFT energy (no corrections): -14.88 eV/f.u.

***

4.
DFT (PBE-GGA) results for CaMgBr2 after structural relaxation.

Structure (POSCAR):
```
CaMgBr2
1.0
-2.175 2.175 6.083
2.175 -2.175 6.083
2.175 2.175 -6.083
Ca Mg Br
1 1 2
direct
0.000 0.000 0.000 Ca
0.250 0.750 0.500 Mg
0.500 0.500 0.000 Br
0.750 0.250 0.500 Br
```

Calculated values
* energy above the most stable polymorph in this dataset: 333 meV/atom
* total DFT energy (no corrections): -10.56 eV/f.u.
* formation energy from raw total energies: -3.616 eV/f.u.

***

5.
DFT (PBE-GGA) results for Ba3Pa3NbN8 after structural relaxation.

Structure (POSCAR):
```
Ba3Pa3NbN8
1.0
3.516 2.030 6.439
-3.516 2.030 6.439
0.000 -4.060 6.439
Ba Pa Nb N
3 3 1 8
direct
0.000 0.500 0.500 Ba
0.500 0.000 0.500 Ba
0.500 0.500 0.000 Ba
0.000 0.000 0.500 Pa
0.000 0.500 0.000 Pa
0.500 0.000 0.000 Pa
0.500 0.500 0.500 Nb
0.226 0.226 0.226 N
0.233 0.715 0.715 N
0.285 0.285 0.767 N
0.285 0.767 0.285 N
0.715 0.233 0.715 N
0.715 0.715 0.233 N
0.767 0.285 0.285 N
0.774 0.774 0.774 N
```

Calculated values
* total DFT energy (no corrections): -128.86 eV/f.u.
* formation energy from raw total energies: -17.935 eV/f.u.

***

6.
DFT (PBE-GGA) results for GdPu2Au after structural relaxation.

Structure (POSCAR):
```
GdPu2Au
1.0
4.054 0.000 0.000
0.000 4.054 0.000
0.000 0.000 6.405
Gd Pu Au
1 2 1
direct
0.000 0.000 0.000 Gd
0.500 0.500 0.276 Pu
0.500 0.500 0.724 Pu
0.000 0.000 0.500 Au
```

Calculated values
* energy above the most stable polymorph in this dataset: 103 meV/atom
* ΔE_f: -81 meV/atom
* total DFT energy (no corrections): -46.35 eV/f.u.

***

7.
DFT (PBE-GGA) results for TaTeSe after structural relaxation.

Structure (POSCAR):
```
TaTeSe
1.0
-1.626 1.626 6.896
1.626 -1.626 6.896
1.626 1.626 -6.896
Ta Te Se
1 1 1
direct
0.000 0.000 0.000 Ta
0.636 0.636 0.000 Te
0.393 0.393 0.000 Se
```

Calculated values
* energy above the most stable polymorph in this dataset: 214 meV/atom
* total DFT energy (no corrections): -19.50 eV/f.u.
* formation energy from raw total energies: -1.023 eV/f.u.

***

8.
DFT (PBE-GGA) results for ZnRe2Au after structural relaxation.

Structure (POSCAR):
```
ZnRe2Au
1.0
1.497 -2.233 0.000
1.497 2.233 0.000
0.000 0.000 9.345
Zn Re Au
1 2 1
direct
0.000 0.000 0.000 Zn
0.500 0.500 0.237 Re
0.500 0.500 0.763 Re
0.000 0.000 0.500 Au
```

Calculated values
* ΔE_f: 493 meV/atom
* total DFT energy (no corrections): -27.48 eV/f.u.

***

9.
DFT (PBE-GGA) results for SbHC3N3Cl9 after structural relaxation.

Structure (POSCAR):
```
SbHC3N3Cl9
1.0
13.760 0.000 0.000
0.000 10.066 0.000
-8.082 0.000 12.690
Sb H C N Cl
4 4 12 12 36
direct
0.247 0.131 0.280 Sb
0.247 0.369 0.780 Sb
0.753 0.631 0.220 Sb
0.753 0.869 0.720 Sb
0.044 0.698 0.261 H
0.044 0.802 0.761 H
0.956 0.198 0.239 H
0.956 0.302 0.739 H
0.121 0.660 0.175 C
0.121 0.840 0.675 C
0.220 0.647 0.359 C
0.220 0.853 0.859 C
0.312 0.619 0.273 C
0.312 0.881 0.773 C
0.688 0.119 0.227 C
0.688 0.381 0.727 C
0.780 0.147 0.141 C
0.780 0.353 0.641 C
0.879 0.160 0.325 C
0.879 0.340 0.825 C
0.120 0.669 0.265 N
0.120 0.831 0.765 N
0.216 0.635 0.177 N
0.216 0.865 0.677 N
0.317 0.621 0.365 N
0.317 0.879 0.865 N
0.683 0.121 0.135 N
0.683 0.379 0.635 N
0.784 0.135 0.323 N
0.784 0.365 0.823 N
0.880 0.169 0.235 N
0.880 0.331 0.735 N
0.005 0.180 0.440 Cl
0.005 0.320 0.940 Cl
0.088 0.012 0.135 Cl
0.088 0.488 0.635 Cl
0.102 0.200 0.757 Cl
0.102 0.300 0.257 Cl
0.213 0.012 0.399 Cl
0.213 0.488 0.899 Cl
0.216 0.651 0.468 Cl
0.216 0.849 0.968 Cl
0.270 0.244 0.656 Cl
0.270 0.256 0.156 Cl
0.379 0.534 0.795 Cl
0.379 0.966 0.295 Cl
0.394 0.240 0.921 Cl
0.394 0.260 0.421 Cl
0.435 0.594 0.278 Cl
0.435 0.906 0.778 Cl
0.565 0.094 0.222 Cl
0.565 0.406 0.722 Cl
0.606 0.740 0.579 Cl
0.606 0.760 0.079 Cl
0.621 0.034 0.705 Cl
0.621 0.466 0.205 Cl
0.730 0.744 0.844 Cl
0.730 0.756 0.344 Cl
0.784 0.151 0.032 Cl
0.784 0.349 0.532 Cl
0.787 0.512 0.101 Cl
0.787 0.988 0.601 Cl
0.898 0.700 0.743 Cl
0.898 0.800 0.243 Cl
0.912 0.512 0.365 Cl
0.912 0.988 0.865 Cl
0.995 0.680 0.060 Cl
0.995 0.820 0.560 Cl
```

Calculated values
* total DFT energy (no corrections): -82.16 eV/f.u.

***

10.
DFT (PBE-GGA) results for Os2NF after structural relaxation.

Structure (POSCAR):
```
Os2NF
1.0
0.000 2.814 2.814
2.814 0.000 2.814
2.814 2.814 0.000
Os N F
2 1 1
direct
0.250 0.250 0.250 Os
0.750 0.750 0.750 Os
0.000 0.000 0.000 N
0.500 0.500 0.500 F
```

Calculated values
* energy above the most stable polymorph in this dataset: 870 meV/atom
* total DFT energy (no corrections): -26.61 eV/f.u.
* formation energy from raw total energies: 6.048 eV/f.u.

***

11.
DFT (PBE-GGA) results for Pm4PS2O after structural relaxation.

Structure (POSCAR):
```
Pm4PS2O
1.0
6.782 0.000 0.000
0.000 3.933 0.000
-2.271 0.000 6.551
Pm P S O
4 1 2 1
direct
0.229 0.000 0.224 Pm
0.239 0.500 0.769 Pm
0.761 0.500 0.231 Pm
0.771 0.000 0.776 Pm
0.500 0.000 0.000 P
0.000 0.000 0.500 S
0.500 0.500 0.500 S
0.000 0.500 0.000 O
```

Calculated values
* total DFT energy (no corrections): -53.98 eV/f.u.
* formation energy from raw total energies: -16.350 eV/f.u.

***

12.
DFT (PBE-GGA) results for Tb2Dy8Tm3 after structural relaxation.

Structure (POSCAR):
```
Tb2Dy8Tm3
1.0
10.110 -3.774 0.000
10.110 3.774 0.000
-0.001 0.000 5.544
Tb Dy Tm
2 8 3
direct
0.241 0.241 0.499 Tb
0.759 0.759 0.501 Tb
0.131 0.131 0.000 Dy
0.182 0.605 0.500 Dy
0.334 0.334 0.000 Dy
0.395 0.818 0.500 Dy
0.605 0.182 0.500 Dy
0.666 0.666 0.000 Dy
0.818 0.395 0.500 Dy
0.869 0.869 0.000 Dy
0.000 0.000 0.500 Tm
0.284 0.716 0.000 Tm
0.716 0.284 0.000 Tm
```

Calculated values
* ΔE_f: 233 meV/atom
* total DFT energy (no corrections): -56.46 eV/f.u.

***

13.
DFT (PBE-GGA) results for LaNdGe after structural relaxation.

Structure (POSCAR):
```
LaNdGe
1.0
0.000 6.147 7.031
4.703 0.000 7.031
4.703 6.147 0.000
La Nd Ge
4 4 4
direct
0.000 0.000 0.000 La
0.000 0.000 0.500 La
0.000 0.500 0.000 La
0.500 0.000 0.000 La
0.243 0.243 0.507 Nd
0.493 0.493 0.757 Nd
0.507 0.507 0.243 Nd
0.757 0.757 0.493 Nd
0.179 0.571 0.179 Ge
0.429 0.821 0.429 Ge
0.571 0.179 0.571 Ge
0.821 0.429 0.821 Ge
```

Calculated values
* energy above the most stable polymorph in this dataset: 170 meV/atom
* ΔE_f: -458 meV/atom
* total DFT energy (no corrections): -15.69 eV/f.u.

***

14.
DFT (PBE-GGA) results for Tm2Sc3TaN6 after structural relaxation.

Structure (POSCAR):
```
Tm2Sc3TaN6
1.0
2.814 -4.874 0.000
2.814 4.874 0.000
-1.876 0.000 5.263
Tm Sc Ta N
2 3 1 6
direct
0.167 0.833 0.000 Tm
0.833 0.167 0.000 Tm
0.000 0.000 0.500 Sc
0.335 0.665 0.500 Sc
0.665 0.335 0.500 Sc
0.500 0.500 0.000 Ta
0.101 0.417 0.750 N
0.268 0.268 0.250 N
0.417 0.101 0.750 N
0.583 0.899 0.250 N
0.732 0.732 0.750 N
0.899 0.583 0.250 N
```

Calculated values
* total DFT energy (no corrections): -110.94 eV/f.u.
* formation energy from raw total energies: -21.196 eV/f.u.

***

15.
DFT (PBE-GGA) results for LaPmSi2 after structural relaxation.

Structure (POSCAR):
```
LaPmSi2
1.0
3.971 0.000 0.000
0.000 5.966 0.000
0.000 0.000 8.314
La Pm Si
2 2 4
direct
0.000 0.135 0.000 La
0.000 0.865 0.500 La
0.500 0.364 0.640 Pm
0.500 0.636 0.140 Pm
0.000 0.375 0.355 Si
0.000 0.625 0.855 Si
0.500 0.137 0.287 Si
0.500 0.863 0.787 Si
```

Calculated values
* total DFT energy (no corrections): -23.54 eV/f.u.
* formation energy from raw total energies: -3.019 eV/f.u.

***

16.
DFT (PBE-GGA) results for ScSbTeI2 after structural relaxation.

Structure (POSCAR):
```
ScSbTeI2
1.0
5.456 0.000 0.000
0.000 5.456 0.000
0.000 0.000 6.130
Sc Sb Te I
1 1 1 2
direct
0.000 0.000 0.000 Sc
0.000 0.000 0.500 Sb
0.500 0.500 0.500 Te
0.000 0.500 0.000 I
0.500 0.000 0.000 I
```

Calculated values
* energy above the most stable polymorph in this dataset: 70 meV/atom
* total DFT energy (no corrections): -17.52 eV/f.u.
* formation energy from raw total energies: -0.824 eV/f.u.

***

no.,magnetic moment (μB per cell)
1,0.0
2,0.2
3,0.0
4,0.0
5,0.0
6,19.9
7,0.0
8,0.0
9,0.0
10,0.0
11,0.0
12,0.0
13,0.0
14,0.0
15,0.0
16,0.5